H3RhN, PBEsol geometry, DFT SCAN; space-group type = Pm-3m (221)
1.0
-0.675 -1.544 -2.593
-0.247 -2.620 1.624
-3.007 0.562 0.449
H Rh N
3 1 1
direct
0.000 0.500 0.000
0.000 0.000 0.500
0.500 0.000 0.000
0.500 0.500 0.500
0.000 0.000 0.000

HRh2N, PBEsol geometry, DFT SCAN; space-group type = I-42d (122)
1.0
4.388 0.000 0.000
0.000 4.388 0.000
-2.194 -2.194 4.243
H Rh N
2 4 2
direct
0.750 0.250 0.500
0.500 0.500 0.000
0.863 0.375 0.250
0.387 0.875 0.250
0.625 0.613 0.750
0.125 0.137 0.750
0.250 0.750 0.500
0.000 0.000 0.000

Number 1: E -9.433 eV per atom, magnetization 1.16 μB/f.u.. Number 2: E -19.938 eV per atom, magnetization 0.00 μB/f.u..